# 1
The following is a DFT calculation (PBE) of a relaxed NaSr12Tl6 crystal.

a b c (Å): 10.289 10.289 10.289
angles (deg): 110.37 110.37 110.37
Element x y z (fractional)
Sr 0.381 0.485 0.173
Sr 0.840 0.293 0.944
Tl 0.662 0.898 0.384
Na 0.000 0.000 0.000
Sr 0.293 0.944 0.840
Tl 0.616 0.338 0.102
Tl 0.898 0.384 0.662
Tl 0.102 0.616 0.338
Sr 0.173 0.381 0.485
Sr 0.515 0.827 0.619
Sr 0.827 0.619 0.515
Tl 0.384 0.662 0.898
Sr 0.056 0.160 0.707
Sr 0.485 0.173 0.381
Tl 0.338 0.102 0.616
Sr 0.944 0.840 0.293
Sr 0.619 0.515 0.827
Sr 0.707 0.056 0.160
Sr 0.160 0.707 0.056

Properties
magnetic moment	0.0	Bohr magnetons per cell
total DFT energy (no corrections)	-2.0389	eV/atom
volume	42.6	Å³ per atom
energy of formation	-160	meV per atom

***

# 2
The following is a DFT calculation (PBE) of a relaxed Na3SrTl12 crystal.

a b c (Å): 4.975 4.975 19.035
angles (deg): 90.00 90.00 90.00
Element x y z (fractional)
Na 0.000 0.000 0.748
Sr 0.000 0.000 0.000
Tl 0.000 0.500 0.623
Tl 0.500 0.500 0.253
Tl 0.500 0.000 0.623
Tl 0.000 0.500 0.377
Tl 0.000 0.500 0.131
Tl 0.500 0.000 0.377
Tl 0.500 0.500 0.000
Tl 0.000 0.500 0.869
Tl 0.500 0.000 0.869
Na 0.000 0.000 0.252
Tl 0.500 0.500 0.500
Tl 0.500 0.500 0.747
Na 0.000 0.000 0.500
Tl 0.500 0.000 0.131

Properties
magnetic moment	0.0	Bohr magnetons per cell
total DFT energy (no corrections)	-2.2404	eV/atom
volume	29.4	Å³ per atom
energy of formation	-113	meV per atom

***

# 3
The following is a DFT calculation (PBE) of a relaxed Na2Sr4Tl crystal.

a b c (Å): 6.043 6.043 10.396
angles (deg): 73.10 73.10 60.00
Element x y z (fractional)
Na 0.252 0.252 0.245
Sr 0.878 0.878 0.367
Sr 0.122 0.122 0.633
Sr 0.627 0.627 0.118
Tl 0.000 0.000 0.000
Na 0.748 0.748 0.755
Sr 0.373 0.373 0.882

Properties
magnetic moment	0.0	Bohr magnetons per cell
total DFT energy (no corrections)	-1.7015	eV/atom
volume	44.2	Å³ per atom
energy of formation	-26	meV per atom

***

# 4
The following is a DFT calculation (PBE) of a relaxed Na3SrTl3 crystal.

a b c (Å): 8.308 8.308 8.308
angles (deg): 90.00 90.00 90.00
Element x y z (fractional)
Na 0.250 0.000 0.500
Tl 0.000 0.250 0.500
Na 0.000 0.500 0.750
Na 0.500 0.750 0.000
Na 0.750 0.000 0.500
Tl 0.500 0.000 0.750
Tl 0.250 0.500 0.000
Na 0.000 0.500 0.250
Tl 0.750 0.500 0.000
Na 0.500 0.250 0.000
Tl 0.500 0.000 0.250
Sr 0.000 0.000 0.000
Sr 0.500 0.500 0.500
Tl 0.000 0.750 0.500

Properties
magnetic moment	0.0	Bohr magnetons per cell
total DFT energy (no corrections)	-1.5957	eV/atom
energy above the most stable polymorph in this dataset	399.4	meV per atom
volume	41.0	Å³ per atom
energy of formation	224	meV per atom

***

# 5
The following is a DFT calculation (PBE) of a relaxed NaSrTl2 crystal.

a b c (Å): 4.078 5.587 5.587
angles (deg): 90.00 90.00 90.00
Element x y z (fractional)
Sr 0.500 0.500 0.500
Na 0.500 0.000 0.000
Tl 0.000 0.000 0.500
Tl 0.000 0.500 0.000

Properties
magnetic moment	0.0	Bohr magnetons per cell
total DFT energy (no corrections)	-2.1915	eV/atom
volume	31.8	Å³ per atom
energy of formation	-258	meV per atom

***

# 6
The following is a DFT calculation (PBE) of a relaxed Na2Sr3Tl2 crystal.

a b c (Å): 5.661 5.662 11.317
angles (deg): 90.04 104.32 120.00
Element x y z (fractional)
Tl 0.739 0.369 0.108
Tl 0.261 0.631 0.892
Na 0.729 0.864 0.593
Sr 0.522 0.261 0.781
Na 0.271 0.136 0.407
Sr 0.000 0.000 0.000
Sr 0.478 0.739 0.219

Properties
magnetic moment	0.0	Bohr magnetons per cell
total DFT energy (no corrections)	-1.9003	eV/atom
volume	43.0	Å³ per atom
energy of formation	-127	meV per atom

***

# 7
The following is a DFT calculation (PBE) of a relaxed NaSr2Tl9 crystal.

a b c (Å): 4.964 4.964 14.798
angles (deg): 90.00 90.00 90.00
Element x y z (fractional)
Tl 0.000 0.500 0.500
Tl 0.500 0.000 0.841
Tl 0.500 0.500 0.334
Sr 0.000 0.000 0.671
Tl 0.500 0.500 0.000
Tl 0.500 0.000 0.159
Tl 0.500 0.000 0.500
Tl 0.000 0.500 0.841
Na 0.000 0.000 0.000
Tl 0.500 0.500 0.666
Tl 0.000 0.500 0.159
Sr 0.000 0.000 0.329

Properties
magnetic moment	0.0	Bohr magnetons per cell
total DFT energy (no corrections)	-2.3510	eV/atom
volume	30.4	Å³ per atom
energy of formation	-186	meV per atom

***

# 8
The following is a DFT calculation (PBE) of a relaxed NaSr3Tl crystal.

a b c (Å): 6.468 6.468 6.468
angles (deg): 90.00 90.00 90.00
Element x y z (fractional)
Na 0.500 0.500 0.500
Sr 0.500 0.000 0.000
Sr 0.000 0.500 0.000
Tl 0.000 0.000 0.000
Sr 0.000 0.000 0.500

Properties
magnetic moment	0.0	Bohr magnetons per cell
total DFT energy (no corrections)	-1.7894	eV/atom
energy above the most stable polymorph in this dataset	122.1	meV per atom
volume	54.1	Å³ per atom
energy of formation	-43	meV per atom

***

# 9
The following is a DFT calculation (PBE) of a relaxed Na23SrTl6 crystal.

a b c (Å): 11.147 11.147 11.147
angles (deg): 60.00 60.00 60.00
Element x y z (fractional)
Na 0.880 0.880 0.880
Na 0.120 0.120 0.639
Tl 0.742 0.742 0.258
Na 0.367 0.367 0.900
Tl 0.258 0.742 0.258
Na 0.100 0.633 0.633
Na 0.633 0.633 0.633
Tl 0.742 0.258 0.258
Na 0.639 0.120 0.120
Na 0.000 0.000 0.000
Sr 0.500 0.500 0.500
Na 0.500 0.500 0.000
Na 0.000 0.500 0.000
Na 0.367 0.367 0.367
Na 0.880 0.880 0.361
Na 0.900 0.367 0.367
Na 0.880 0.361 0.880
Na 0.000 0.500 0.500
Na 0.120 0.120 0.120
Na 0.120 0.639 0.120
Na 0.361 0.880 0.880
Na 0.633 0.100 0.633
Na 0.500 0.000 0.000
Na 0.633 0.633 0.100
Na 0.500 0.000 0.500
Tl 0.258 0.742 0.742
Na 0.000 0.000 0.500
Tl 0.258 0.258 0.742
Na 0.367 0.900 0.367
Tl 0.742 0.258 0.742

Properties
magnetic moment	0.0	Bohr magnetons per cell
total DFT energy (no corrections)	-1.5878	eV/atom
volume	32.6	Å³ per atom
energy of formation	-47	meV per atom

***

# 10
The following is a DFT calculation (PBE) of a relaxed Na5Sr3Tl2 crystal.

a b c (Å): 7.014 11.017 11.017
angles (deg): 90.03 71.44 71.44
Element x y z (fractional)
Tl 0.363 0.988 0.286
Sr 0.630 0.637 0.102
Sr 0.130 0.102 0.637
Na 0.495 0.255 0.255
Sr 0.370 0.363 0.898
Sr 0.870 0.898 0.363
Na 0.995 0.255 0.255
Na 0.505 0.745 0.745
Na 0.250 0.500 0.500
Na 0.384 0.770 0.461
Sr 0.250 0.000 0.000
Na 0.616 0.230 0.539
Tl 0.637 0.012 0.714
Na 0.750 0.500 0.500
Na 0.005 0.745 0.745
Na 0.116 0.539 0.230
Tl 0.137 0.714 0.012
Tl 0.863 0.286 0.988
Sr 0.750 0.000 0.000
Na 0.884 0.461 0.770

Properties
magnetic moment	0.0	Bohr magnetons per cell
total DFT energy (no corrections)	-1.7106	eV/atom
volume	38.0	Å³ per atom
energy of formation	-73	meV per atom

***

# 11
The following is a DFT calculation (PBE) of a relaxed Na2SrTl2 crystal.

a b c (Å): 4.557 4.557 8.537
angles (deg): 74.52 74.52 90.00
Element x y z (fractional)
Na 0.750 0.250 0.500
Na 0.250 0.750 0.500
Tl 0.602 0.602 0.796
Tl 0.398 0.398 0.204
Sr 0.000 0.000 0.000

Properties
magnetic moment	0.0	Bohr magnetons per cell
total DFT energy (no corrections)	-1.9788	eV/atom
energy above the most stable polymorph in this dataset	8.2	meV per atom
volume	32.8	Å³ per atom
energy of formation	-168	meV per atom

***

# 12
The following is a DFT calculation (PBE) of a relaxed Na12Sr16Tl crystal.

a b c (Å): 11.947 11.947 11.979
angles (deg): 109.15 109.15 108.96
Element x y z (fractional)
Sr 0.995 0.995 0.641
Sr 0.647 0.418 0.019
Sr 0.388 0.999 0.677
Sr 0.711 0.330 0.321
Na 0.188 0.997 0.350
Sr 0.305 0.305 0.680
Na 0.163 0.342 0.985
Na 0.643 0.824 0.635
Na 0.176 0.803 0.823
Na 0.997 0.188 0.350
Sr 0.991 0.681 0.392
Sr 0.609 0.290 0.611
Sr 0.398 0.398 0.346
Na 0.342 0.163 0.985
Sr 0.330 0.711 0.321
Na 0.367 0.993 0.180
Na 0.803 0.176 0.823
Na 0.824 0.824 0.189
Na 0.642 0.642 0.825
Sr 0.418 0.647 0.019
Tl 0.657 0.657 0.328
Sr 0.000 0.000 0.004
Sr 0.999 0.388 0.677
Na 0.824 0.643 0.635
Sr 0.992 0.628 0.002
Sr 0.628 0.992 0.002
Na 0.993 0.367 0.180
Sr 0.290 0.609 0.611
Sr 0.681 0.991 0.392

Properties
magnetic moment	0.0	Bohr magnetons per cell
total DFT energy (no corrections)	-1.5470	eV/atom
volume	46.0	Å³ per atom
energy of formation	8	meV per atom

***

# 13
The following is a DFT calculation (PBE) of a relaxed NaSr3Tl12 crystal.

a b c (Å): 5.019 5.019 19.331
angles (deg): 90.00 90.00 90.00
Element x y z (fractional)
Tl 0.000 0.500 0.372
Na 0.000 0.000 0.000
Tl 0.500 0.500 0.247
Tl 0.000 0.500 0.881
Sr 0.000 0.000 0.245
Tl 0.000 0.500 0.628
Sr 0.000 0.000 0.500
Sr 0.000 0.000 0.755
Tl 0.500 0.000 0.628
Tl 0.500 0.000 0.881
Tl 0.000 0.500 0.119
Tl 0.500 0.500 0.000
Tl 0.500 0.000 0.372
Tl 0.500 0.500 0.500
Tl 0.500 0.500 0.753
Tl 0.500 0.000 0.119

Properties
magnetic moment	0.0	Bohr magnetons per cell
total DFT energy (no corrections)	-2.3739	eV/atom
volume	30.4	Å³ per atom
energy of formation	-201	meV per atom

***

# 14
The following is a DFT calculation (PBE) of a relaxed Na7SrTl5 crystal.

a b c (Å): 6.575 8.583 8.583
angles (deg): 81.74 67.48 67.48
Element x y z (fractional)
Na 0.358 0.642 0.642
Na 0.678 0.322 0.322
Na 0.986 0.667 0.361
Tl 0.000 0.004 0.508
Tl 0.487 0.508 0.004
Na 0.986 0.361 0.667
Tl 0.000 0.508 0.004
Tl 0.699 0.801 0.801
Na 0.498 0.789 0.214
Tl 0.487 0.004 0.508
Na 0.284 0.216 0.216
Na 0.498 0.214 0.789
Sr 0.036 0.964 0.964

Properties
magnetic moment	0.0	Bohr magnetons per cell
total DFT energy (no corrections)	-1.8625	eV/atom
volume	31.8	Å³ per atom
energy of formation	-113	meV per atom

***

# 15
The following is a DFT calculation (PBE) of a relaxed Na5Sr4Tl2 crystal.

a b c (Å): 4.181 9.299 11.657
angles (deg): 93.69 90.00 90.00
Element x y z (fractional)
Sr 0.500 0.845 0.142
Sr 0.500 0.228 0.454
Na 0.000 0.557 0.312
Na 0.000 0.500 0.000
Sr 0.500 0.772 0.546
Tl 0.000 0.055 0.640
Na 0.000 0.801 0.840
Sr 0.500 0.155 0.858
Tl 0.000 0.945 0.360
Na 0.000 0.199 0.160
Na 0.000 0.443 0.688

Properties
magnetic moment	0.0	Bohr magnetons per cell
total DFT energy (no corrections)	-1.7570	eV/atom
volume	41.1	Å³ per atom
energy of formation	-116	meV per atom

***

# 16
The following is a DFT calculation (PBE) of a relaxed Na6SrTl6 crystal.

a b c (Å): 6.512 8.575 8.575
angles (deg): 79.44 67.68 67.68
Element x y z (fractional)
Tl 0.500 0.000 0.500
Na 0.703 0.797 0.797
Tl 0.000 0.500 0.000
Tl 0.000 0.000 0.500
Tl 0.500 0.500 0.000
Tl 0.500 0.212 0.788
Tl 0.500 0.788 0.212
Na 0.352 0.648 0.648
Na 0.000 0.339 0.661
Na 0.648 0.352 0.352
Na 0.297 0.203 0.203
Na 0.000 0.661 0.339
Sr 0.000 0.000 0.000

Properties
magnetic moment	0.0	Bohr magnetons per cell
total DFT energy (no corrections)	-1.9453	eV/atom
volume	31.5	Å³ per atom
energy of formation	-115	meV per atom

***

# 17
The following is a DFT calculation (PBE) of a relaxed Na2SrTl2 crystal.

a b c (Å): 4.535 4.535 8.204
angles (deg): 90.00 90.00 94.50
Element x y z (fractional)
Tl 0.500 0.500 0.202
Tl 0.500 0.500 0.798
Na 0.779 0.221 0.500
Sr 0.000 0.000 0.000
Na 0.221 0.779 0.500

Properties
magnetic moment	0.0	Bohr magnetons per cell
total DFT energy (no corrections)	-1.9042	eV/atom
energy above the most stable polymorph in this dataset	82.8	meV per atom
volume	33.6	Å³ per atom
energy of formation	-94	meV per atom

***

# 18
The following is a DFT calculation (PBE) of a relaxed NaSrTl2 crystal.

a b c (Å): 5.619 5.619 5.619
angles (deg): 60.00 60.00 60.00
Element x y z (fractional)
Sr 0.250 0.250 0.250
Na 0.750 0.750 0.750
Tl 0.500 0.500 0.500
Tl 0.000 0.000 0.000

Properties
magnetic moment	0.0	Bohr magnetons per cell
total DFT energy (no corrections)	-2.1947	eV/atom
volume	31.4	Å³ per atom
energy of formation	-261	meV per atom

***

# 19
The following is a DFT calculation (PBE) of a relaxed Na4SrTl15 crystal.

a b c (Å): 4.880 4.880 24.736
angles (deg): 90.00 90.00 90.00
Element x y z (fractional)
Na 0.000 0.000 0.799
Na 0.000 0.000 0.401
Na 0.000 0.000 0.599
Tl 0.000 0.500 0.500
Tl 0.500 0.500 0.401
Tl 0.500 0.500 0.599
Tl 0.500 0.500 0.200
Tl 0.500 0.500 0.000
Tl 0.000 0.500 0.104
Tl 0.000 0.500 0.896
Na 0.000 0.000 0.201
Tl 0.500 0.000 0.500
Tl 0.500 0.000 0.699
Tl 0.000 0.500 0.301
Tl 0.500 0.000 0.104
Tl 0.500 0.000 0.896
Tl 0.500 0.500 0.800
Tl 0.000 0.500 0.699
Sr 0.000 0.000 0.000
Tl 0.500 0.000 0.301

Properties
magnetic moment	0.0	Bohr magnetons per cell
total DFT energy (no corrections)	-2.2230	eV/atom
volume	29.5	Å³ per atom
energy of formation	-100	meV per atom

***

# 20
The following is a DFT calculation (PBE) of a relaxed NaSrTl2 crystal.

a b c (Å): 7.383 7.383 7.383
angles (deg): 57.73 149.71 132.10
Element x y z (fractional)
Na 0.000 0.000 0.000
Tl 0.000 0.763 0.763
Sr 0.000 0.500 0.500
Tl 0.000 0.237 0.237

Properties
magnetic moment	0.0	Bohr magnetons per cell
total DFT energy (no corrections)	-1.8293	eV/atom
volume	37.4	Å³ per atom
energy of formation	104	meV per atom